[1]
{"formula": "Ce2PuTl", "functional": "PBE-GGA", "state": "optimized geometry", "cell": [[3.679, 0.172, 0.426], [0.390, 6.778, 2.312], [-0.672, -1.239, 7.708]], "species": ["Pu", "Pu", "Ce", "Ce", "Ce", "Ce", "Tl", "Tl"], "fractional_positions": [[0.625, 0.892, 0.916], [0.375, 0.108, 0.084], [0.809, 0.324, 0.938], [0.685, 0.922, 0.354], [0.191, 0.676, 0.062], [0.315, 0.078, 0.646], [0.238, 0.623, 0.644], [0.762, 0.377, 0.356]], "space_group": "P-1", "delta_e_f_ev_per_atom": 0.00}



[2]
{"formula": "CePuTl6", "functional": "PBE-GGA", "state": "optimized geometry", "cell": [[4.814, 0.000, 0.000], [0.000, 4.814, 0.000], [0.000, 0.000, 9.649]], "species": ["Tl", "Tl", "Tl", "Tl", "Tl", "Tl", "Ce", "Pu"], "fractional_positions": [[0.000, 0.500, 0.748], [0.500, 0.000, 0.748], [0.000, 0.500, 0.252], [0.500, 0.500, 0.500], [0.500, 0.500, 0.000], [0.500, 0.000, 0.252], [0.000, 0.000, 0.000], [0.000, 0.000, 0.500]], "space_group": "P4/mmm", "delta_e_f_ev_per_atom": -0.14}



[3]
{"formula": "Ce2PuTl3", "functional": "PBE-GGA", "state": "optimized geometry", "cell": [[-0.957, 2.501, 1.679], [-0.656, -1.892, 2.445], [15.891, 2.121, 5.902]], "species": ["Tl", "Tl", "Tl", "Pu", "Ce", "Ce"], "fractional_positions": [[0.000, 0.000, 0.187], [0.000, 0.000, 0.000], [0.000, 0.000, 0.813], [0.500, 0.500, 0.500], [0.500, 0.500, 0.657], [0.500, 0.500, 0.343]], "space_group": "P4/mmm", "delta_e_f_ev_per_atom": 0.23}